First-principles (PBE-GGA) data for a geometry-optimized SrMnBr2 structure, as listed in the Alexandria database.

Computed properties:
N(E_F) ... 4.074 states/eV/f.u.
Energy relative to the elements, uncorrected ... -0.625 eV/atom
Total magnetic moment ... 5.00 Bohr magnetons per cell
Offset from the most stable computed form ... 104 meV per atom

Cell lengths 5.412, 5.412, 5.412 Å; angles 60.00, 60.00, 60.00 degrees
Fractional positions:
Sr 0.000 0.000 0.000
Mn 0.500 0.500 0.500
Br 0.250 0.250 0.250
Br 0.750 0.750 0.750

---

First-principles (PBE-GGA) data for a geometry-optimized SrMnBr2 structure, as listed in the Alexandria database.

Computed properties:
N(E_F) ... 1.781 states/eV/f.u.
Energy relative to the elements, uncorrected ... -0.729 eV/atom
Total magnetic moment ... 5.01 Bohr magnetons per cell
Offset from the most stable computed form ... 0 meV per atom

Cell lengths 10.114, 10.114, 10.114 Å; angles 23.93, 23.93, 23.93 degrees
Fractional positions:
Sr 0.000 0.000 0.000
Mn 0.761 0.761 0.761
Br 0.272 0.272 0.272
Br 0.471 0.471 0.471

---

First-principles (PBE-GGA) data for a geometry-optimized Sr2MnBr structure, as listed in the Alexandria database.

Computed properties:
N(E_F) ... 3.422 states/eV/f.u.
Energy relative to the elements, uncorrected ... -0.362 eV/atom
Total magnetic moment ... 3.57 Bohr magnetons per cell
Offset from the most stable computed form ... 12 meV per atom

Cell lengths 3.867, 3.867, 8.601 Å; angles 90.00, 90.00, 90.08 degrees
Fractional positions:
Sr 0.000 0.000 0.231
Sr 0.000 0.000 0.769
Mn 0.500 0.500 0.000
Br 0.500 0.500 0.500

---

First-principles (PBE-GGA) data for a geometry-optimized Sr2MnBr structure, as listed in the Alexandria database.

Computed properties:
N(E_F) ... 4.374 states/eV/f.u.
Energy relative to the elements, uncorrected ... -0.135 eV/atom
Total magnetic moment ... 4.22 Bohr magnetons per cell
Offset from the most stable computed form ... 239 meV per atom

Cell lengths 7.575, 7.575, 7.575 Å; angles 144.61, 144.61, 50.92 degrees
Fractional positions:
Sr 0.000 0.000 0.000
Sr 0.750 0.250 0.500
Mn 0.500 0.500 0.000
Br 0.250 0.750 0.500